The following is a DFT calculation (GGA-PBE) of CaTaC3 after structural relaxation.

Lattice parameters (Å, degrees): 4.213 4.213 4.213 90.00 90.00 90.00
Sites, in units of the cell vectors:
Ca (0.000, 0.000, 0.000)
Ta (0.500, 0.500, 0.500)
C (0.000, 0.500, 0.500)
C (0.500, 0.000, 0.500)
C (0.500, 0.500, 0.000)

***

The following is a DFT calculation (GGA-PBE) of Ac3AgAu after structural relaxation.

Lattice parameters (Å, degrees): 7.580 7.580 10.130 102.80 102.80 38.96
Sites, in units of the cell vectors:
Ac (0.073, 0.073, 0.344)
Ac (0.352, 0.352, 0.924)
Ac (0.363, 0.363, 0.324)
Ac (0.637, 0.637, 0.676)
Ac (0.648, 0.648, 0.076)
Ac (0.927, 0.927, 0.656)
Ag (0.271, 0.271, 0.590)
Ag (0.729, 0.729, 0.410)
Au (0.121, 0.121, 0.881)
Au (0.879, 0.879, 0.119)

***

The following is a DFT calculation (GGA-PBE) of HgPW after structural relaxation.

Lattice parameters (Å, degrees): 3.104 3.104 6.636 90.00 90.00 120.00
Sites, in units of the cell vectors:
Hg (0.000, 0.000, 0.000)
P (0.667, 0.333, 0.395)
W (0.333, 0.667, 0.634)

***

In order of appearance, polymorph energy (0 for the lowest one) = 0, 50, 0 meV per atom.
In order of appearance, energy of formation from the pure elements = 21.72, -8.11, 6.70 kcal/mol of atoms.